Here is an optimized crystal structure of NaGaH8N2F6 from the Alexandria database. Energies are from PBEsol.

Properties
Final energy: -4.884 eV/atom
SG: Fm-3m, No. 225
N(E_F): 0.000 states/eV/cell
Volume: 8.42 A^3/atom

Cell: 5.9856 5.9856 5.9856 Å, 60.00 60.00 60.00°
Closest atoms and distances in Å follow each position.
Fractional coordinates of all 18 atoms:
H: 0.8205 0.8205 0.8205  1 N 1.03
H: 0.4615 0.1795 0.1795  1 N 1.03
H: 0.8205 0.8205 0.5385  1 N 1.03
H: 0.1795 0.1795 0.4615  1 N 1.03
H: 0.5385 0.8205 0.8205  1 N 1.03
H: 0.1795 0.1795 0.1795  1 N 1.03
H: 0.1795 0.4615 0.1795  1 N 1.03
H: 0.8205 0.5385 0.8205  1 N 1.03
F: 0.7751 0.2249 0.7751  1 Ga 1.90
F: 0.2249 0.7751 0.2249  1 Ga 1.90
F: 0.7751 0.2249 0.2249  1 Ga 1.90
F: 0.2249 0.7751 0.7751  1 Ga 1.90
F: 0.2249 0.2249 0.7751  1 Ga 1.90
F: 0.7751 0.7751 0.2249  1 Ga 1.90
Na: 0.5000 0.5000 0.5000  6 F 2.33
N: 0.2500 0.2500 0.2500  4 H 1.03
N: 0.7500 0.7500 0.7500  4 H 1.03
Ga: 0.0000 0.0000 0.0000  6 F 1.90